Record 1
GGA-PBE Nd14ErTl, relaxed; space-group type = Amm2, No. 38; raw total energy = -74.10 eV per cell; N(E_F) = 20.452 states/eV/f.u.
1.0
10.3392 0.0000 0.0000
0.0000 5.1254 5.1249
0.0000 -5.1254 5.1249
Nd Er Tl
14 1 1
Direct
0.0000 0.0000 0.0000
0.0000 0.0000 0.4992
0.0000 0.4992 0.0000
0.0000 0.4995 0.4995
0.2542 0.7488 0.7488
0.2548 0.2504 0.7488
0.2554 0.2507 0.2507
0.2548 0.7488 0.2504
0.5000 0.5001 0.9984
0.5000 0.9984 0.5001
0.7452 0.2504 0.7488
0.7446 0.2507 0.2507
0.7452 0.7488 0.2504
0.7458 0.7488 0.7488
0.5000 0.9996 0.9996
0.5000 0.4996 0.4996

=====

Record 2
GGA-PBE Nd3Sm4Te8, relaxed; space-group type = C2/m, No. 12; raw total energy = -79.99 eV per cell; N(E_F) = 7.154 states/eV/f.u.
1.0
6.2967 -6.2982 0.0000
6.2967 6.2982 0.0000
-6.2904 0.0000 6.2993
Nd Sm Te
3 4 8
Direct
0.0000 0.0000 0.0000
0.0000 0.5000 0.0000
0.5000 0.0000 0.0000
0.0000 0.5000 0.5000
0.5000 0.0000 0.5000
0.5000 0.5000 0.0000
0.5000 0.5000 0.5000
0.2454 0.7546 0.5000
0.2466 0.2466 0.5027
0.2468 0.2468 0.9909
0.2514 0.7486 0.0000
0.7486 0.2514 0.0000
0.7532 0.7532 0.0091
0.7534 0.7534 0.4973
0.7546 0.2454 0.5000

=====

Record 3
GGA-PBE K4BaI6, relaxed; space-group type = Cmcm, No. 63; raw total energy = -65.35 eV per cell; N(E_F) = 0.000 states/eV/f.u.
1.0
2.4549 -8.4048 0.0000
2.4549 8.4048 0.0000
0.0000 0.0000 25.0263
K Ba I
8 2 12
Direct
0.0906 0.9094 0.6290
0.0906 0.9094 0.8710
0.3582 0.6418 0.5390
0.3582 0.6418 0.9610
0.6418 0.3582 0.0390
0.6418 0.3582 0.4610
0.9094 0.0906 0.1290
0.9094 0.0906 0.3710
0.1588 0.8412 0.2500
0.8412 0.1588 0.7500
0.0000 0.0000 0.0000
0.0000 0.0000 0.5000
0.1957 0.8043 0.7500
0.2703 0.7297 0.0919
0.2703 0.7297 0.4081
0.4408 0.5592 0.6686
0.4408 0.5592 0.8314
0.5592 0.4408 0.1686
0.5592 0.4408 0.3314
0.7297 0.2703 0.5919
0.7297 0.2703 0.9081
0.8043 0.1957 0.2500

=====

Record 4
GGA-PBE Fe3IrW, relaxed; space-group type = Pm-3m, No. 221; raw total energy = -38.35 eV per cell; N(E_F) = 6.930 states/eV/f.u.; distance to the lowest polymorph of the same formula = 0.6 kJ per mole of atoms
1.0
4.5289 0.0000 0.0000
0.0000 4.5289 0.0000
0.0000 0.0000 4.5289
Fe Ir W
3 1 1
Direct
0.0000 0.0000 0.5000
0.0000 0.5000 0.0000
0.5000 0.0000 0.0000
0.0000 0.0000 0.0000
0.5000 0.5000 0.5000

=====

Record 5
GGA-PBE MgGaOs3, relaxed; space-group type = Pm-3m, No. 221; raw total energy = -27.01 eV per cell; N(E_F) = 4.225 states/eV/f.u.; distance to the lowest polymorph of the same formula = 62.9 kJ per mole of atoms
1.0
4.4798 0.0000 0.0000
0.0000 4.4798 0.0000
0.0000 0.0000 4.4798
Mg Ga Os
1 1 3
Direct
0.0000 0.0000 0.0000
0.5000 0.5000 0.5000
0.0000 0.0000 0.5000
0.0000 0.5000 0.0000
0.5000 0.0000 0.0000

=====

Record 6
GGA-PBE HfZr2V, relaxed; space-group type = Fm-3m, No. 225; raw total energy = -35.40 eV per cell; N(E_F) = 4.707 states/eV/f.u.; distance to the lowest polymorph of the same formula = 5.5 kJ per mole of atoms
1.0
0.0000 3.4568 3.4568
3.4568 0.0000 3.4568
3.4568 3.4568 0.0000
Hf Zr V
1 2 1
Direct
0.0000 0.0000 0.0000
0.2500 0.2500 0.2500
0.7500 0.7500 0.7500
0.5000 0.5000 0.5000